# LaNd2Pa, optimized geometry, DFT PBE-GGA
data_LaNd2Pa
_symmetry_space_group_name_H-M 'R -3 m'
_symmetry_Int_Tables_number 166
_symmetry_space_group_name_Hall '-R 3 2"'
_cell_length_a 3.4134
_cell_length_b 3.4134
_cell_length_c 37.9570
_cell_angle_alpha 90.00
_cell_angle_beta 90.00
_cell_angle_gamma 120.00
loop_
_atom_site_label
_atom_site_type_symbol
_atom_site_fract_x
_atom_site_fract_y
_atom_site_fract_z
La1 La 0.0000 0.0000 0.0000
Nd1 Nd 0.0000 0.0000 0.4147
Pa1 Pa 0.0000 0.0000 0.5000
# DFT total energy: -22.58 eV per formula unit
# polymorph energy (0 for the lowest one): 188 meV/atom
# formation energy: 0.34 eV/atom